# 1
Material: BC2
Method: DFT, GGA-PBE
State: relaxed

Geometry as CIF:
```
data_BC2
_chemical_formula_sum 'B4 C8'
_symmetry_space_group_name_H-M 'P 1'
_symmetry_Int_Tables_number 1
_symmetry_space_group_name_Hall 'P 1'
_cell_length_a 4.4186
_cell_length_b 4.4186
_cell_length_c 5.1860
_cell_angle_alpha 107.07
_cell_angle_beta 107.07
_cell_angle_gamma 52.93
loop_
_atom_site_label
_atom_site_type_symbol
_atom_site_fract_x
_atom_site_fract_y
_atom_site_fract_z
_atom_site_occupancy
B1 B 0.0000 0.0000 0.0000 1
B2 B 0.5042 0.1771 0.9184 1
B3 B 0.8229 0.4958 0.0816 1
B4 B 0.9253 0.0747 0.5000 1
C1 C 0.2233 0.7612 0.2571 1
C2 C 0.2388 0.7767 0.7429 1
C3 C 0.2686 0.4014 0.6560 1
C4 C 0.2847 0.3689 0.1780 1
C5 C 0.5164 0.1352 0.4181 1
C6 C 0.5986 0.7314 0.3440 1
C7 C 0.6311 0.7153 0.8220 1
C8 C 0.8648 0.4836 0.5819 1
```

Properties
ΔE_f (meV/atom): 372
Excess energy over the best structure of this formula in the dataset (meV per atom): 131.6
DFT total energy (eV/cell): -96.04

# 2
Material: Pu2ZnIn
Method: DFT, GGA-PBE
State: relaxed

Geometry as CIF:
```
data_Pu2ZnIn
_chemical_formula_sum 'Pu2 Zn1 In1'
_symmetry_space_group_name_H-M 'P 1'
_symmetry_Int_Tables_number 1
_symmetry_space_group_name_Hall 'P 1'
_cell_length_a 3.1567
_cell_length_b 3.1567
_cell_length_c 9.4147
_cell_angle_alpha 90.00
_cell_angle_beta 90.00
_cell_angle_gamma 90.00
loop_
_atom_site_label
_atom_site_type_symbol
_atom_site_fract_x
_atom_site_fract_y
_atom_site_fract_z
_atom_site_occupancy
Pu1 Pu 0.0000 0.0000 0.2335 1
Pu2 Pu 0.0000 0.0000 0.7665 1
Zn1 Zn 0.5000 0.5000 0.0000 1
In1 In 0.5000 0.5000 0.5000 1
```

Properties
ΔE_f (meV/atom): -112
DFT total energy (eV/cell): -33.12

# 3
Material: NbPd3Pb
Method: DFT, GGA-PBE
State: relaxed

Geometry as CIF:
```
data_NbPd3Pb
_chemical_formula_sum 'Nb1 Pd3 Pb1'
_symmetry_space_group_name_H-M 'P 1'
_symmetry_Int_Tables_number 1
_symmetry_space_group_name_Hall 'P 1'
_cell_length_a 4.9153
_cell_length_b 4.9153
_cell_length_c 4.9153
_cell_angle_alpha 90.00
_cell_angle_beta 90.00
_cell_angle_gamma 90.00
loop_
_atom_site_label
_atom_site_type_symbol
_atom_site_fract_x
_atom_site_fract_y
_atom_site_fract_z
_atom_site_occupancy
Nb1 Nb 0.0000 0.0000 0.0000 1
Pd1 Pd 0.0000 0.0000 0.5000 1
Pd2 Pd 0.0000 0.5000 0.0000 1
Pd3 Pd 0.5000 0.0000 0.0000 1
Pb1 Pb 0.5000 0.5000 0.5000 1
```

Properties
ΔE_f (meV/atom): 641
Excess energy over the best structure of this formula in the dataset (meV per atom): 0.0
DFT total energy (eV/cell): -26.15

# 4
Material: Hg2SeICl
Method: DFT, GGA-PBE
State: relaxed

Geometry as CIF:
```
data_Hg2SeICl
_chemical_formula_sum 'Hg4 Se2 I2 Cl2'
_symmetry_space_group_name_H-M 'P 1'
_symmetry_Int_Tables_number 1
_symmetry_space_group_name_Hall 'P 1'
_cell_length_a 7.4391
_cell_length_b 7.4391
_cell_length_c 12.1902
_cell_angle_alpha 112.03
_cell_angle_beta 112.03
_cell_angle_gamma 34.91
loop_
_atom_site_label
_atom_site_type_symbol
_atom_site_fract_x
_atom_site_fract_y
_atom_site_fract_z
_atom_site_occupancy
Hg1 Hg 0.0501 0.0501 0.3661 1
Hg2 Hg 0.3518 0.3518 0.1405 1
Hg3 Hg 0.6482 0.6482 0.8595 1
Hg4 Hg 0.9499 0.9499 0.6339 1
Se1 Se 0.4578 0.4578 0.7601 1
Se2 Se 0.5422 0.5422 0.2399 1
I1 I 0.1661 0.1661 0.6153 1
I2 I 0.8339 0.8339 0.3847 1
Cl1 Cl 0.1684 0.1684 0.0534 1
Cl2 Cl 0.8316 0.8316 0.9466 1
```

Properties
ΔE_f (raw) (kJ per mole of atoms): -34
DFT total energy (eV/cell): -18.48

# 5
Material: NdNp2P3
Method: DFT, GGA-PBE
State: relaxed

Geometry as CIF:
```
data_NdNp2P3
_chemical_formula_sum 'Nd4 Np8 P12'
_symmetry_space_group_name_H-M 'P 1'
_symmetry_Int_Tables_number 1
_symmetry_space_group_name_Hall 'P 1'
_cell_length_a 13.3456
_cell_length_b 12.7235
_cell_length_c 6.9733
_cell_angle_alpha 79.48
_cell_angle_beta 69.61
_cell_angle_gamma 30.91
loop_
_atom_site_label
_atom_site_type_symbol
_atom_site_fract_x
_atom_site_fract_y
_atom_site_fract_z
_atom_site_occupancy
Nd1 Nd 0.0419 0.0419 0.2081 1
Nd2 Nd 0.2081 0.2081 0.0419 1
Nd3 Nd 0.7919 0.7919 0.9581 1
Nd4 Nd 0.9581 0.9581 0.7919 1
Np1 Np 0.1237 0.1237 0.6263 1
Np2 Np 0.2904 0.2904 0.4596 1
Np3 Np 0.3737 0.3737 0.8763 1
Np4 Np 0.4596 0.4596 0.2904 1
Np5 Np 0.5404 0.5404 0.7096 1
Np6 Np 0.6263 0.6263 0.1237 1
Np7 Np 0.7096 0.7096 0.5404 1
Np8 Np 0.8763 0.8763 0.3737 1
P1 P 0.0437 0.5444 0.2185 1
P2 P 0.1382 0.6118 0.6118 1
P3 P 0.2185 0.6934 0.0437 1
P4 P 0.3066 0.7815 0.4556 1
P5 P 0.3882 0.8618 0.8618 1
P6 P 0.4556 0.9563 0.3066 1
P7 P 0.5444 0.0437 0.6934 1
P8 P 0.6118 0.1382 0.1382 1
P9 P 0.6934 0.2185 0.5444 1
P10 P 0.7815 0.3066 0.9563 1
P11 P 0.8618 0.3882 0.3882 1
P12 P 0.9563 0.4556 0.7815 1
```

Properties
ΔE_f (meV/atom): -1078
DFT total energy (eV/cell): -213.40

# 6
Material: Ca2YPt3
Method: DFT, GGA-PBE
State: relaxed

Geometry as CIF:
```
data_Ca2YPt3
_chemical_formula_sum 'Ca4 Y2 Pt6'
_symmetry_space_group_name_H-M 'P 1'
_symmetry_Int_Tables_number 1
_symmetry_space_group_name_Hall 'P 1'
_cell_length_a 7.8132
_cell_length_b 7.8132
_cell_length_c 7.0405
_cell_angle_alpha 90.00
_cell_angle_beta 90.00
_cell_angle_gamma 143.23
loop_
_atom_site_label
_atom_site_type_symbol
_atom_site_fract_x
_atom_site_fract_y
_atom_site_fract_z
_atom_site_occupancy
Ca1 Ca 0.0000 0.0000 0.0000 1
Ca2 Ca 0.0000 0.0000 0.5000 1
Ca3 Ca 0.3334 0.6666 0.0000 1
Ca4 Ca 0.6666 0.3334 0.0000 1
Y1 Y 0.3370 0.6630 0.5000 1
Y2 Y 0.6630 0.3370 0.5000 1
Pt1 Pt 0.1722 0.8278 0.2652 1
Pt2 Pt 0.1722 0.8278 0.7348 1
Pt3 Pt 0.5000 0.5000 0.2542 1
Pt4 Pt 0.5000 0.5000 0.7458 1
Pt5 Pt 0.8278 0.1722 0.2652 1
Pt6 Pt 0.8278 0.1722 0.7348 1
```

Properties
ΔE_f (meV/atom): -1020
DFT total energy (eV/cell): -69.42